# SrCo2N | Alexandria | PBE | optimized geometry
# Fermi-level density of states: 0.7 states/eV/f.u.
# Volume: 137 Å³ per cell
# E: -6.093 eV/atom
# Formation energy from raw total energies: -39 meV/atom
data_SrCo2N
_chemical_formula_sum 'Sr2 Co4 N2'
_symmetry_space_group_name_H-M 'P 1'
_symmetry_Int_Tables_number 1
_cell_length_a 5.7847
_cell_length_b 5.7847
_cell_length_c 5.7847
_cell_angle_alpha 60.00
_cell_angle_beta 60.00
_cell_angle_gamma 60.00
loop_
_symmetry_equiv_pos_as_xyz
'x,y,z'
loop_
_atom_site_label
_atom_site_type_symbol
_atom_site_fract_x
_atom_site_fract_y
_atom_site_fract_z
Sr1 Sr 0.1250 0.1250 0.1250
Sr2 Sr 0.8750 0.8750 0.8750
Co1 Co 0.0000 0.5000 0.5000
Co2 Co 0.5000 0.0000 0.5000
Co3 Co 0.5000 0.5000 0.0000
Co4 Co 0.5000 0.5000 0.5000
N1 N 0.3750 0.3750 0.3750
N2 N 0.6250 0.6250 0.6250